IrOsBr2, relaxed, DFT PBE; density = 11211 kg/m3; E = -5.190 eV per atom; E above lowest polymorph = 276 meV/atom; SG = R3m; ΔE_f (raw) = 2.7 eV/f.u.
1.0
1.523 0.879 9.993
-1.523 0.879 9.993
0.000 -1.759 9.993
Ir Os Br
1 1 2
Direct
0.000 0.000 0.000 Ir
0.731 0.731 0.731 Os
0.261 0.261 0.261 Br
0.467 0.467 0.467 Br


TiCo2Ag, relaxed, DFT PBE; density = 7451 kg/m3; energy of formation = 532 meV per atom; E = -5.707 eV per atom; E above lowest polymorph = 452 meV/atom; SG = I-42d
1.0
-1.903 1.903 8.414
1.903 -1.903 8.414
1.903 1.903 -8.414
Ti Co Ag
2 4 2
Direct
0.000 0.000 0.000 Ti
0.750 0.250 0.500 Ti
0.068 0.625 0.943 Co
0.375 0.318 0.443 Co
0.682 0.125 0.057 Co
0.875 0.932 0.557 Co
0.250 0.750 0.500 Ag
0.500 0.500 0.000 Ag


Dy4Er5, relaxed, DFT PBE; density = 8939 kg/m3; energy of formation = 21 meV per atom; E = -4.559 eV per atom; E above lowest polymorph = 0 meV/atom; SG = C2/m
1.0
5.827 -5.274 0.000
5.827 5.274 0.000
-2.105 0.000 4.492
Dy Er
4 5
Direct
0.000 0.333 0.167 Dy
0.000 0.667 0.833 Dy
0.333 0.000 0.167 Dy
0.667 0.000 0.833 Dy
0.000 0.000 0.500 Er
0.334 0.334 0.834 Er
0.334 0.666 0.500 Er
0.666 0.334 0.500 Er
0.666 0.666 0.166 Er


Repeat the first record exactly.
IrOsBr2, relaxed, DFT PBE; density = 11211 kg/m3; E = -5.190 eV per atom; E above lowest polymorph = 276 meV/atom; SG = R3m; ΔE_f (raw) = 2.7 eV/f.u.
1.0
1.523 0.879 9.993
-1.523 0.879 9.993
0.000 -1.759 9.993
Ir Os Br
1 1 2
Direct
0.000 0.000 0.000 Ir
0.731 0.731 0.731 Os
0.261 0.261 0.261 Br
0.467 0.467 0.467 Br


The lowest E belongs to which entry?
TiCo2Ag